(1)
Below is NaSr2HPd after structural relaxation, with properties calculated at the PBE-GGA level.

Lattice parameters (Å, degrees): 5.2508 5.2508 4.4174 90.00 90.00 90.00
Last column: nearest neighbours and their distance in Å.
Positions (direct):
Na: 0.0000 0.0000 0.0000  2 H 2.21
Sr: 0.0000 0.5000 0.5000  2 H 2.63
Sr: 0.5000 0.0000 0.5000  2 H 2.63
H: 0.0000 0.0000 0.5000  2 Na 2.21
Pd: 0.5000 0.5000 0.0000  8 Sr 3.43, 4 Na 3.71

Output
* E_tot: -2.92 eV/atom

=====

(2)
Below is NaSr2H6Pd after structural relaxation, with properties calculated at the PBE-GGA level.

Lattice parameters (Å, degrees): 5.4530 5.4530 5.3556 90.00 90.00 120.00
Last column: nearest neighbours and their distance in Å.
Positions (direct):
Na: 0.0000 0.0000 0.0000  6 H 2.25
Sr: 0.3333 0.6667 0.3121  9 H 2.60-2.73
Sr: 0.6667 0.3333 0.6879  9 H 2.60-2.73
H: 0.1646 0.3292 0.6962  1 Pd 1.88
H: 0.1646 0.8354 0.6962  1 Pd 1.88
H: 0.3292 0.1646 0.3038  1 Pd 1.88
H: 0.6708 0.8354 0.6962  1 Pd 1.88
H: 0.8354 0.1646 0.3038  1 Pd 1.88
H: 0.8354 0.6708 0.3038  1 Pd 1.88
Pd: 0.0000 0.0000 0.5000  6 H 1.88

Output
* E_tot: -3.29 eV/atom

=====

(3)
Below is NaSrH6Pd after structural relaxation, with properties calculated at the PBE-GGA level.

Lattice parameters (Å, degrees): 5.0412 5.0412 4.5444 90.00 90.00 120.00
Last column: nearest neighbours and their distance in Å.
Positions (direct):
Na: 0.0000 0.0000 0.0000  9 H 2.44-2.52
Sr: 0.3333 0.6667 0.5126  12 H 2.56-2.75
H: 0.3463 0.1732 0.4215  1 Pd 1.71
H: 0.5023 0.0046 0.0009  1 Pd 1.71
H: 0.5023 0.4977 0.0009  1 Pd 1.71
H: 0.8268 0.1732 0.4215  1 Pd 1.71
H: 0.8268 0.6537 0.4215  1 Pd 1.71
H: 0.9954 0.4977 0.0009  1 Pd 1.71
Pd: 0.6667 0.3333 0.2041  6 H 1.71

Output
* E_tot: -3.42 eV/atom

=====

(4)
Below is NaSr2HPd after structural relaxation, with properties calculated at the PBE-GGA level.

Lattice parameters (Å, degrees): 5.5957 5.5957 4.0351 90.00 90.00 90.00
Last column: nearest neighbours and their distance in Å.
Positions (direct):
Na: 0.0000 0.0000 0.0000  8 Sr 3.45
Sr: 0.0000 0.5000 0.5000  2 H 2.80
Sr: 0.5000 0.0000 0.5000  2 H 2.80
H: 0.5000 0.5000 0.5000  2 Pd 2.02
Pd: 0.5000 0.5000 0.0000  2 H 2.02

Output
* E_tot: -2.85 eV/atom

=====

(5)
Below is Na2TcHPd after structural relaxation, with properties calculated at the PBE-GGA level.

Lattice parameters (Å, degrees): 5.5003 5.5003 4.8536 90.00 90.00 90.00
Last column: nearest neighbours and their distance in Å.
Positions (direct):
Na: 0.0000 0.5000 0.0000  2 Pd 2.75
Na: 0.5000 0.0000 0.0000  2 Pd 2.75
Tc: 0.0000 0.0000 0.5000  2 Pd 2.43
H: 0.5000 0.5000 0.5000  8 Na 3.67, 4 Tc 3.89
Pd: 0.0000 0.0000 0.0000  2 Tc 2.43

Output
* E_tot: -3.17 eV/atom

=====

(6)
Below is NaTeHPd2 after structural relaxation, with properties calculated at the PBE-GGA level.

Lattice parameters (Å, degrees): 4.1957 4.1957 4.3210 90.00 90.00 90.00
Last column: nearest neighbours and their distance in Å.
Positions (direct):
Na: 0.0000 0.0000 0.0000  2 H 2.16
Te: 0.5000 0.5000 0.0000  4 Na 2.97, 8 Pd 3.01
H: 0.0000 0.0000 0.5000  4 Pd 2.10, 2 Na 2.16
Pd: 0.0000 0.5000 0.5000  2 H 2.10
Pd: 0.5000 0.0000 0.5000  2 H 2.10

Output
* E_tot: -3.88 eV/atom

=====

(7)
Below is Na2TlHPd after structural relaxation, with properties calculated at the PBE-GGA level.

Lattice parameters (Å, degrees): 5.4219 5.4219 5.2544 90.00 90.00 90.00
Last column: nearest neighbours and their distance in Å.
Positions (direct):
Na: 0.0000 0.5000 0.0000  2 Pd 2.71
Na: 0.5000 0.0000 0.0000  2 Pd 2.71
Tl: 0.0000 0.0000 0.5000  2 Pd 2.63
H: 0.5000 0.5000 0.5000  8 Na 3.78, 4 Tl 3.83
Pd: 0.0000 0.0000 0.0000  2 Tl 2.63, 4 Na 2.71

Output
* E_tot: -2.43 eV/atom

=====

(8)
Below is Na2TlHPd after structural relaxation, with properties calculated at the PBE-GGA level.

Lattice parameters (Å, degrees): 4.3093 4.3093 4.9930 90.00 90.00 90.00
Last column: nearest neighbours and their distance in Å.
Positions (direct):
Na: 0.0000 0.5000 0.0000  2 H 2.15
Na: 0.5000 0.0000 0.0000  2 H 2.15
Tl: 0.0000 0.0000 0.5000  2 H 2.50
H: 0.0000 0.0000 0.0000  4 Na 2.15
Pd: 0.5000 0.5000 0.5000  4 Tl 3.05, 8 Na 3.30

Output
* E_tot: -2.74 eV/atom

=====

(9)
Below is NaTlH2Pd2 after structural relaxation, with properties calculated at the PBE-GGA level.

Lattice parameters (Å, degrees): 4.5597 5.6575 7.8750 90.00 96.16 90.00
Last column: nearest neighbours and their distance in Å.
Positions (direct):
Na: 0.2113 0.2500 0.4037  3 H 2.20-2.34
Na: 0.7887 0.7500 0.5963  3 H 2.20-2.34
Tl: 0.1522 0.7500 0.0837  1 H 2.68, 6 Pd 2.83-2.84
Tl: 0.8478 0.2500 0.9163  1 H 2.68, 6 Pd 2.83-2.84
H: 0.3018 0.7500 0.6657  2 Pd 1.76
H: 0.3855 0.2500 0.6755  2 Pd 1.75
H: 0.6145 0.7500 0.3245  2 Pd 1.75
H: 0.6982 0.2500 0.3343  2 Pd 1.76
Pd: 0.3246 0.0011 0.7978  2 H 1.75-1.76
Pd: 0.3246 0.4989 0.7978  2 H 1.75-1.76
Pd: 0.6754 0.5011 0.2022  2 H 1.75-1.76
Pd: 0.6754 0.9989 0.2022  2 H 1.75-1.76

Output
* E_tot: -3.66 eV/atom

=====

(10)
Below is NaTlH2Pd4 after structural relaxation, with properties calculated at the PBE-GGA level.

Lattice parameters (Å, degrees): 3.8464 3.8464 9.0473 90.00 90.00 90.00
Last column: nearest neighbours and their distance in Å.
Positions (direct):
Na: 0.0000 0.0000 0.0000  8 Pd 3.06
Tl: 0.0000 0.0000 0.5000  8 Pd 2.88
H: 0.5000 0.5000 0.2402  4 Pd 1.94
H: 0.5000 0.5000 0.7598  4 Pd 1.94
Pd: 0.0000 0.5000 0.2638  2 H 1.94
Pd: 0.0000 0.5000 0.7362  2 H 1.94
Pd: 0.5000 0.0000 0.2638  2 H 1.94
Pd: 0.5000 0.0000 0.7362  2 H 1.94

Output
* E_tot: -4.02 eV/atom

=====

(11)
Below is NaTl2HPd after structural relaxation, with properties calculated at the PBE-GGA level.

Lattice parameters (Å, degrees): 5.3783 5.3783 3.5090 90.00 90.00 90.00
Last column: nearest neighbours and their distance in Å.
Positions (direct):
Na: 0.0000 0.0000 0.0000  8 Tl 3.21, 2 Na 3.51
Tl: 0.0000 0.5000 0.5000  2 H 2.69
Tl: 0.5000 0.0000 0.5000  2 H 2.69
H: 0.5000 0.5000 0.5000  2 Pd 1.75
Pd: 0.5000 0.5000 0.0000  2 H 1.75

Output
* E_tot: -2.94 eV/atom